1.
# Cr2Tc2Rh | the Alexandria database | PBE | relaxed
data_Cr2Tc2Rh
_space_group_name_H-M_alt 'P 4/m b m'
_space_group_IT_number 127
_space_group_name_Hall '-P 4 2ab'
_cell_length_a 6.942
_cell_length_b 6.942
_cell_length_c 2.860
_cell_angle_alpha 90.00
_cell_angle_beta 90.00
_cell_angle_gamma 90.00
loop_
_atom_site_label
_atom_site_type_symbol
_atom_site_fract_x
_atom_site_fract_y
_atom_site_fract_z
Cr1 Cr 0.139 0.361 0.000
Tc1 Tc 0.162 0.662 0.500
Rh1 Rh 0.000 0.000 0.000
# **Formation energy from the elements**: 0.85 eV/f.u.
# **VASP energy**: -9.297 eV per atom

2.
# CrTcRh2 | the Alexandria database | PBE | relaxed
data_CrTcRh2
_space_group_name_H-M_alt 'P 1 21/m 1'
_space_group_IT_number 11
_cell_length_a 5.137
_cell_length_b 4.127
_cell_length_c 5.392
_cell_angle_alpha 90.00
_cell_angle_beta 105.59
_cell_angle_gamma 90.00
loop_
_space_group_symop_operation_xyz
'x,y,z'
'-x,-y,-z'
'-x,y+1/2,-z'
'x,-y+1/2,z'
loop_
_atom_site_label
_atom_site_type_symbol
_atom_site_fract_x
_atom_site_fract_y
_atom_site_fract_z
Cr1 Cr 0.132 0.250 0.285
Tc1 Tc 0.125 0.250 0.779
Rh1 Rh 0.340 0.750 0.086
Rh2 Rh 0.348 0.750 0.588
# **Formation energy from the elements**: -0.13 eV/f.u.
# **VASP energy**: -8.706 eV per atom

3.
# Cr2TcRh | the Alexandria database | PBE | relaxed
data_Cr2TcRh
_space_group_name_H-M_alt 'F -4 3 m'
_space_group_IT_number 216
_space_group_name_Hall 'F -4 2 3'
_cell_length_a 6.019
_cell_length_b 6.019
_cell_length_c 6.019
_cell_angle_alpha 90.00
_cell_angle_beta 90.00
_cell_angle_gamma 90.00
loop_
_atom_site_label
_atom_site_type_symbol
_atom_site_fract_x
_atom_site_fract_y
_atom_site_fract_z
Cr1 Cr 0.000 0.000 0.000
Cr2 Cr 0.250 0.250 0.250
Tc1 Tc 0.250 0.250 0.750
Rh1 Rh 0.000 0.000 0.500
# **Formation energy from the elements**: 0.91 eV/f.u.
# **VASP energy**: -9.014 eV per atom

4.
# Cr3TcRh | the Alexandria database | PBE | relaxed
data_Cr3TcRh
_space_group_name_H-M_alt 'P m -3 m'
_space_group_IT_number 221
_space_group_name_Hall '-P 4 2 3'
_cell_length_a 4.371
_cell_length_b 4.371
_cell_length_c 4.371
_cell_angle_alpha 90.00
_cell_angle_beta 90.00
_cell_angle_gamma 90.00
loop_
_atom_site_label
_atom_site_type_symbol
_atom_site_fract_x
_atom_site_fract_y
_atom_site_fract_z
Cr1 Cr 0.000 0.000 0.500
Tc1 Tc 0.500 0.500 0.500
Rh1 Rh 0.000 0.000 0.000
# **Formation energy from the elements**: 9.02 eV/f.u.
# **VASP energy**: -7.514 eV per atom

5.
# Cr2TcRh | the Alexandria database | PBE | relaxed
data_Cr2TcRh
_space_group_name_H-M_alt 'P 4/m m m'
_space_group_IT_number 123
_space_group_name_Hall '-P 4 2'
_cell_length_a 4.129
_cell_length_b 4.129
_cell_length_c 3.185
_cell_angle_alpha 90.00
_cell_angle_beta 90.00
_cell_angle_gamma 90.00
loop_
_atom_site_label
_atom_site_type_symbol
_atom_site_fract_x
_atom_site_fract_y
_atom_site_fract_z
Cr1 Cr 0.000 0.500 0.000
Tc1 Tc 0.000 0.000 0.500
Rh1 Rh 0.500 0.500 0.500
# **Formation energy from the elements**: 0.22 eV/f.u.
# **VASP energy**: -9.187 eV per atom

6.
# CrTcRh2 | the Alexandria database | PBE | relaxed
data_CrTcRh2
_space_group_name_H-M_alt 'I 4/m m m'
_space_group_IT_number 139
_space_group_name_Hall '-I 4 2'
_cell_length_a 3.780
_cell_length_b 3.780
_cell_length_c 7.677
_cell_angle_alpha 90.00
_cell_angle_beta 90.00
_cell_angle_gamma 90.00
loop_
_atom_site_label
_atom_site_type_symbol
_atom_site_fract_x
_atom_site_fract_y
_atom_site_fract_z
Cr1 Cr 0.000 0.000 0.000
Tc1 Tc 0.000 0.000 0.500
Rh1 Rh 0.000 0.500 0.250
# **Formation energy from the elements**: -0.27 eV/f.u.
# **VASP energy**: -8.741 eV per atom

7.
# Cr3TcRh | the Alexandria database | PBE | relaxed
data_Cr3TcRh
_space_group_name_H-M_alt 'P m -3 m'
_space_group_IT_number 221
_space_group_name_Hall '-P 4 2 3'
_cell_length_a 4.521
_cell_length_b 4.521
_cell_length_c 4.521
_cell_angle_alpha 90.00
_cell_angle_beta 90.00
_cell_angle_gamma 90.00
loop_
_atom_site_label
_atom_site_type_symbol
_atom_site_fract_x
_atom_site_fract_y
_atom_site_fract_z
Cr1 Cr 0.000 0.000 0.500
Tc1 Tc 0.000 0.000 0.000
Rh1 Rh 0.500 0.500 0.500
# **Formation energy from the elements**: 7.08 eV/f.u.
# **VASP energy**: -7.901 eV per atom

8.
# CrTcRh2 | the Alexandria database | PBE | relaxed
data_CrTcRh2
_space_group_name_H-M_alt 'I -4 m 2'
_space_group_IT_number 119
_space_group_name_Hall 'I -4 -2'
_cell_length_a 3.828
_cell_length_b 3.828
_cell_length_c 7.511
_cell_angle_alpha 90.00
_cell_angle_beta 90.00
_cell_angle_gamma 90.00
loop_
_atom_site_label
_atom_site_type_symbol
_atom_site_fract_x
_atom_site_fract_y
_atom_site_fract_z
Cr1 Cr 0.000 0.000 0.000
Tc1 Tc 0.000 0.500 0.250
Rh1 Rh 0.000 0.000 0.500
Rh2 Rh 0.000 0.500 0.750
# **Formation energy from the elements**: -0.10 eV/f.u.
# **VASP energy**: -8.698 eV per atom

9.
# Cr2TcRh9 | the Alexandria database | PBE | relaxed
data_Cr2TcRh9
_space_group_name_H-M_alt 'P -1'
_space_group_IT_number 2
_cell_length_a 4.689
_cell_length_b 6.009
_cell_length_c 6.028
_cell_angle_alpha 84.24
_cell_angle_beta 82.76
_cell_angle_gamma 82.72
loop_
_space_group_symop_operation_xyz
'x,y,z'
'-x,-y,-z'
loop_
_atom_site_label
_atom_site_type_symbol
_atom_site_fract_x
_atom_site_fract_y
_atom_site_fract_z
Cr1 Cr 0.248 0.088 0.412
Tc1 Tc 0.000 0.500 0.500
Rh1 Rh 0.002 0.834 0.178
Rh2 Rh 0.248 0.761 0.738
Rh3 Rh 0.250 0.414 0.089
Rh4 Rh 0.500 0.000 0.000
Rh5 Rh 0.500 0.327 0.661
# **Formation energy from the elements**: -0.74 eV/f.u.
# **VASP energy**: -8.043 eV per atom

10.
# Cr5TcRh6 | the Alexandria database | PBE | relaxed
data_Cr5TcRh6
_space_group_name_H-M_alt 'I m m m'
_space_group_IT_number 71
_space_group_name_Hall '-I 2 2'
_cell_length_a 3.786
_cell_length_b 7.484
_cell_length_c 11.385
_cell_angle_alpha 90.00
_cell_angle_beta 90.00
_cell_angle_gamma 90.00
loop_
_atom_site_label
_atom_site_type_symbol
_atom_site_fract_x
_atom_site_fract_y
_atom_site_fract_z
Cr1 Cr 0.000 0.000 0.000
Cr2 Cr 0.000 0.000 0.336
Cr3 Cr 0.000 0.500 0.332
Tc1 Tc 0.000 0.500 0.000
Rh1 Rh 0.000 0.247 0.168
Rh2 Rh 0.000 0.255 0.500
# **Formation energy from the elements**: -0.89 eV/f.u.
# **VASP energy**: -8.624 eV per atom

11.
# CrTcRh2 | the Alexandria database | PBE | relaxed
data_CrTcRh2
_space_group_name_H-M_alt 'I -4 2 d'
_space_group_IT_number 122
_space_group_name_Hall 'I -4 2bw'
_cell_length_a 3.699
_cell_length_b 3.699
_cell_length_c 17.615
_cell_angle_alpha 90.00
_cell_angle_beta 90.00
_cell_angle_gamma 90.00
loop_
_atom_site_label
_atom_site_type_symbol
_atom_site_fract_x
_atom_site_fract_y
_atom_site_fract_z
Cr1 Cr 0.000 0.000 0.000
Tc1 Tc 0.000 0.000 0.500
Rh1 Rh 0.242 0.250 0.125
# **Formation energy from the elements**: 1.79 eV/f.u.
# **VASP energy**: -8.226 eV per atom

12.
# CrTcRh2 | the Alexandria database | PBE | relaxed
data_CrTcRh2
_space_group_name_H-M_alt 'C 1 2/m 1'
_space_group_IT_number 12
_cell_length_a 8.969
_cell_length_b 2.698
_cell_length_c 4.625
_cell_angle_alpha 90.00
_cell_angle_beta 100.18
_cell_angle_gamma 90.00
loop_
_space_group_symop_operation_xyz
'x,y,z'
'-x,-y,-z'
'-x,y,-z'
'x,-y,z'
'x+1/2,y+1/2,z'
'-x+1/2,-y+1/2,-z'
'-x+1/2,y+1/2,-z'
'x+1/2,-y+1/2,z'
loop_
_atom_site_label
_atom_site_type_symbol
_atom_site_fract_x
_atom_site_fract_y
_atom_site_fract_z
Cr1 Cr 0.000 0.000 0.000
Tc1 Tc 0.000 0.500 0.500
Rh1 Rh 0.247 0.500 0.247
# **Formation energy from the elements**: -0.01 eV/f.u.
# **VASP energy**: -8.675 eV per atom

13.
# CrTcRh2 | the Alexandria database | PBE | relaxed
data_CrTcRh2
_space_group_name_H-M_alt 'P 4/m m m'
_space_group_IT_number 123
_space_group_name_Hall '-P 4 2'
_cell_length_a 3.794
_cell_length_b 3.794
_cell_length_c 3.829
_cell_angle_alpha 90.00
_cell_angle_beta 90.00
_cell_angle_gamma 90.00
loop_
_atom_site_label
_atom_site_type_symbol
_atom_site_fract_x
_atom_site_fract_y
_atom_site_fract_z
Cr1 Cr 0.000 0.000 0.000
Tc1 Tc 0.500 0.500 0.000
Rh1 Rh 0.000 0.500 0.500
# **Formation energy from the elements**: -0.31 eV/f.u.
# **VASP energy**: -8.751 eV per atom

14.
# Cr2TcRh | the Alexandria database | PBE | relaxed
data_Cr2TcRh
_space_group_name_H-M_alt 'I -4 m 2'
_space_group_IT_number 119
_space_group_name_Hall 'I -4 -2'
_cell_length_a 3.710
_cell_length_b 3.710
_cell_length_c 7.688
_cell_angle_alpha 90.00
_cell_angle_beta 90.00
_cell_angle_gamma 90.00
loop_
_atom_site_label
_atom_site_type_symbol
_atom_site_fract_x
_atom_site_fract_y
_atom_site_fract_z
Cr1 Cr 0.000 0.000 0.000
Cr2 Cr 0.000 0.500 0.250
Tc1 Tc 0.000 0.000 0.500
Rh1 Rh 0.000 0.500 0.750
# **Formation energy from the elements**: 0.34 eV/f.u.
# **VASP energy**: -9.156 eV per atom

15.
# Cr2TcRh | the Alexandria database | PBE | relaxed
data_Cr2TcRh
_space_group_name_H-M_alt 'C m m m'
_space_group_IT_number 65
_space_group_name_Hall '-C 2 2'
_cell_length_a 5.368
_cell_length_b 7.398
_cell_length_c 2.646
_cell_angle_alpha 90.00
_cell_angle_beta 90.00
_cell_angle_gamma 90.00
loop_
_atom_site_label
_atom_site_type_symbol
_atom_site_fract_x
_atom_site_fract_y
_atom_site_fract_z
Cr1 Cr 0.250 0.250 0.000
Tc1 Tc 0.000 0.000 0.500
Rh1 Rh 0.000 0.500 0.500
# **Formation energy from the elements**: 0.34 eV/f.u.
# **VASP energy**: -9.157 eV per atom

16.
# CrTcRh2 | the Alexandria database | PBE | relaxed
data_CrTcRh2
_space_group_name_H-M_alt 'P 4 m m'
_space_group_IT_number 99
_cell_length_a 2.685
_cell_length_b 2.685
_cell_length_c 7.620
_cell_angle_alpha 90.00
_cell_angle_beta 90.00
_cell_angle_gamma 90.00
loop_
_space_group_symop_operation_xyz
'x,y,z'
'-y,x,z'
'-x,-y,z'
'y,-x,z'
'-x,y,z'
'y,x,z'
'x,-y,z'
'-y,-x,z'
loop_
_atom_site_label
_atom_site_type_symbol
_atom_site_fract_x
_atom_site_fract_y
_atom_site_fract_z
Cr1 Cr 0.000 0.000 0.000
Tc1 Tc 0.500 0.500 0.745
Rh1 Rh 0.000 0.000 0.499
Rh2 Rh 0.500 0.500 0.223
# **Formation energy from the elements**: -0.13 eV/f.u.
# **VASP energy**: -8.705 eV per atom

17.
# Cr2TcRh | the Alexandria database | PBE | relaxed
data_Cr2TcRh
_space_group_name_H-M_alt 'I -4 2 d'
_space_group_IT_number 122
_space_group_name_Hall 'I -4 2bw'
_cell_length_a 3.744
_cell_length_b 3.744
_cell_length_c 16.507
_cell_angle_alpha 90.00
_cell_angle_beta 90.00
_cell_angle_gamma 90.00
loop_
_atom_site_label
_atom_site_type_symbol
_atom_site_fract_x
_atom_site_fract_y
_atom_site_fract_z
Cr1 Cr 0.234 0.250 0.125
Tc1 Tc 0.000 0.000 0.000
Rh1 Rh 0.000 0.000 0.500
# **Formation energy from the elements**: 2.70 eV/f.u.
# **VASP energy**: -8.567 eV per atom

18.
# Cr2TcRh | the Alexandria database | PBE | relaxed
data_Cr2TcRh
_space_group_name_H-M_alt 'C m m 2'
_space_group_IT_number 35
_cell_length_a 2.973
_cell_length_b 4.287
_cell_length_c 8.290
_cell_angle_alpha 90.00
_cell_angle_beta 90.00
_cell_angle_gamma 90.00
loop_
_space_group_symop_operation_xyz
'x,y,z'
'-x,-y,z'
'-x,y,z'
'x,-y,z'
'x+1/2,y+1/2,z'
'-x+1/2,-y+1/2,z'
'-x+1/2,y+1/2,z'
'x+1/2,-y+1/2,z'
loop_
_atom_site_label
_atom_site_type_symbol
_atom_site_fract_x
_atom_site_fract_y
_atom_site_fract_z
Cr1 Cr 0.000 0.000 0.000
Cr2 Cr 0.000 0.500 0.225
Tc1 Tc 0.000 0.000 0.473
Rh1 Rh 0.000 0.500 0.751
# **Formation energy from the elements**: 0.62 eV/f.u.
# **VASP energy**: -9.085 eV per atom

19.
# Cr2TcRh | the Alexandria database | PBE | relaxed
data_Cr2TcRh
_space_group_name_H-M_alt 'R -3 m'
_space_group_IT_number 166
_space_group_name_Hall '-R 3 2"'
_cell_length_a 2.6759
_cell_length_b 2.6759
_cell_length_c 25.5887
_cell_angle_alpha 90.00
_cell_angle_beta 90.00
_cell_angle_gamma 120.00
loop_
_atom_site_label
_atom_site_type_symbol
_atom_site_fract_x
_atom_site_fract_y
_atom_site_fract_z
Cr1 Cr 0.0000 0.0000 0.2494
Tc1 Tc 0.0000 0.0000 0.0000
Rh1 Rh 0.0000 0.0000 0.5000
# **Formation energy from the elements**: 0.64 eV/f.u.
# **VASP energy**: -9.082 eV per atom

20.
# TiCr2TcRh | the Alexandria database | PBE | relaxed
data_TiCr2TcRh
_space_group_name_H-M_alt 'P 4/m m m'
_space_group_IT_number 123
_space_group_name_Hall '-P 4 2'
_cell_length_a 4.211
_cell_length_b 4.211
_cell_length_c 4.434
_cell_angle_alpha 90.00
_cell_angle_beta 90.00
_cell_angle_gamma 90.00
loop_
_atom_site_label
_atom_site_type_symbol
_atom_site_fract_x
_atom_site_fract_y
_atom_site_fract_z
Ti1 Ti 0.000 0.000 0.000
Cr1 Cr 0.000 0.500 0.000
Tc1 Tc 0.000 0.000 0.500
Rh1 Rh 0.500 0.500 0.500
# **Formation energy from the elements**: 7.06 eV/f.u.
# **VASP energy**: -7.560 eV per atom